The following is a DFT calculation (GGA-PBE) of crystalline SrLi2Os at its relaxed geometry.

Calculated values
Magnetization in Bohr magnetons per cell: 0.0
E_form in kJ/mol of formula units: 222

Cell: 2.767 4.464 6.175 Å, 90.00 90.00 90.00°
Fractional coordinates of all 4 atoms:
Sr (0.000, 0.000, 0.000)
Li (0.500, 0.500, 0.321)
Li (0.500, 0.500, 0.679)
Os (0.000, 0.000, 0.500)

=====

The following is a DFT calculation (GGA-PBE) of crystalline Sr2PtC at its relaxed geometry.

Calculated values
Magnetization in Bohr magnetons per cell: 4.0
E_form in kJ/mol of formula units: 206

Cell: 6.590 6.590 6.590 Å, 111.20 111.20 106.07°
Fractional coordinates of all 8 atoms:
Sr (0.088, 0.125, 0.463)
Sr (0.375, 0.912, 0.037)
Sr (0.662, 0.625, 0.537)
Sr (0.875, 0.338, 0.963)
Pt (0.250, 0.750, 0.500)
Pt (0.500, 0.500, 0.000)
C (0.000, 0.000, 0.000)
C (0.750, 0.250, 0.500)

=====

The following is a DFT calculation (GGA-PBE) of crystalline BaWSe2 at its relaxed geometry.

Calculated values
Magnetization in Bohr magnetons per cell: 0.0
Energy relative to the elements, uncorrected in eV/atom: 0.0626

Cell: 5.016 5.016 5.016 Å, 60.00 60.00 60.00°
Fractional coordinates of all 4 atoms:
Ba (0.000, 0.000, 0.000)
W (0.500, 0.500, 0.500)
Se (0.250, 0.250, 0.250)
Se (0.750, 0.750, 0.750)

=====

The following is a DFT calculation (GGA-PBE) of crystalline TlSbPd2 at its relaxed geometry.

Calculated values
Magnetization in Bohr magnetons per cell: 0.0
Energy relative to the elements, uncorrected in eV/atom: -0.0618

Cell: 9.373 9.373 9.373 Å, 151.93 151.93 40.12°
Fractional coordinates of all 8 atoms:
Tl (0.000, 0.000, 0.000)
Tl (0.750, 0.250, 0.500)
Sb (0.250, 0.750, 0.500)
Sb (0.500, 0.500, 0.000)
Pd (0.165, 0.625, 0.040)
Pd (0.375, 0.415, 0.540)
Pd (0.585, 0.125, 0.960)
Pd (0.875, 0.835, 0.460)

=====

The following is a DFT calculation (GGA-PBE) of crystalline NaSn4Hg2 at its relaxed geometry.

Calculated values
Magnetization in Bohr magnetons per cell: 0.0
E_form in kJ/mol of formula units: -24

Cell: 11.743 11.743 3.377 Å, 90.00 90.00 155.94°
Fractional coordinates of all 7 atoms:
Na (0.000, 0.000, 0.000)
Sn (0.145, 0.855, 0.500)
Sn (0.293, 0.707, 0.000)
Sn (0.707, 0.293, 0.000)
Sn (0.855, 0.145, 0.500)
Hg (0.434, 0.566, 0.500)
Hg (0.566, 0.434, 0.500)

=====

The following is a DFT calculation (GGA-PBE) of crystalline MnCr2Pd9 at its relaxed geometry.

Calculated values
Magnetization in Bohr magnetons per cell: 9.8
E_form in kJ/mol of formula units: -136

Cell: 3.913 3.913 11.724 Å, 90.00 90.00 90.00°
Fractional coordinates of all 12 atoms:
Mn (0.000, 0.000, 0.000)
Cr (0.000, 0.000, 0.334)
Cr (0.000, 0.000, 0.666)
Pd (0.000, 0.500, 0.168)
Pd (0.000, 0.500, 0.500)
Pd (0.000, 0.500, 0.832)
Pd (0.500, 0.000, 0.168)
Pd (0.500, 0.000, 0.500)
Pd (0.500, 0.000, 0.832)
Pd (0.500, 0.500, 0.000)
Pd (0.500, 0.500, 0.334)
Pd (0.500, 0.500, 0.666)

=====

The following is a DFT calculation (GGA-PBE) of crystalline RuPt2Cl at its relaxed geometry.

Calculated values
Magnetization in Bohr magnetons per cell: 0.0
Energy relative to the elements, uncorrected in eV/atom: 0.2433

Cell: 2.840 2.883 7.994 Å, 90.00 90.00 90.00°
Fractional coordinates of all 4 atoms:
Ru (0.000, 0.000, 0.000)
Pt (0.500, 0.500, 0.226)
Pt (0.500, 0.500, 0.774)
Cl (0.500, 0.000, 0.500)

=====

The following is a DFT calculation (GGA-PBE) of crystalline ReSiTcRu at its relaxed geometry.

Calculated values
Magnetization in Bohr magnetons per cell: 0.0
Energy relative to the elements, uncorrected in eV/atom: -0.1281

Cell: 4.814 4.814 4.511 Å, 107.61 107.61 34.56°
Fractional coordinates of all 4 atoms:
Re (0.000, 0.000, 0.000)
Si (0.736, 0.736, 0.355)
Tc (0.472, 0.472, 0.481)
Ru (0.249, 0.249, 0.852)

=====

The following is a DFT calculation (GGA-PBE) of crystalline Ni5Sb2Pt at its relaxed geometry.

Calculated values
Magnetization in Bohr magnetons per cell: 0.0
Energy relative to the elements, uncorrected in eV/atom: -0.0753

Cell: 18.489 3.545 7.463 Å, 90.00 90.00 90.00°
Fractional coordinates of all 32 atoms:
Ni (0.001, 0.250, 0.124)
Ni (0.005, 0.750, 0.374)
Ni (0.200, 0.750, 0.875)
Ni (0.201, 0.250, 0.635)
Ni (0.203, 0.250, 0.119)
Ni (0.297, 0.750, 0.619)
Ni (0.299, 0.750, 0.135)
Ni (0.300, 0.250, 0.375)
Ni (0.495, 0.250, 0.874)
Ni (0.499, 0.750, 0.624)
Ni (0.501, 0.250, 0.376)
Ni (0.505, 0.750, 0.126)
Ni (0.700, 0.750, 0.625)
Ni (0.701, 0.250, 0.865)
Ni (0.703, 0.250, 0.381)
Ni (0.797, 0.750, 0.881)
Ni (0.799, 0.750, 0.365)
Ni (0.800, 0.250, 0.125)
Ni (0.995, 0.250, 0.626)
Ni (0.999, 0.750, 0.876)
Sb (0.097, 0.750, 0.638)
Sb (0.100, 0.750, 0.112)
Sb (0.400, 0.250, 0.612)
Sb (0.403, 0.250, 0.138)
Sb (0.597, 0.750, 0.862)
Sb (0.600, 0.750, 0.388)
Sb (0.900, 0.250, 0.888)
Sb (0.903, 0.250, 0.362)
Pt (0.196, 0.750, 0.377)
Pt (0.304, 0.250, 0.877)
Pt (0.696, 0.750, 0.123)
Pt (0.804, 0.250, 0.623)

=====

The following is a DFT calculation (GGA-PBE) of crystalline HfGa2Pd5 at its relaxed geometry.

Calculated values
Magnetization in Bohr magnetons per cell: 0.0
E_form in kJ/mol of formula units: -471

Cell: 7.314 7.314 7.314 Å, 124.29 124.29 82.71°
Fractional coordinates of all 16 atoms:
Hf (0.250, 0.250, 0.000)
Hf (0.750, 0.750, 0.000)
Ga (0.149, 0.649, 0.797)
Ga (0.351, 0.149, 0.500)
Ga (0.649, 0.851, 0.500)
Ga (0.851, 0.351, 0.203)
Pd (0.000, 0.000, 0.000)
Pd (0.006, 0.808, 0.500)
Pd (0.192, 0.692, 0.198)
Pd (0.308, 0.506, 0.500)
Pd (0.494, 0.994, 0.802)
Pd (0.500, 0.500, 0.000)
Pd (0.506, 0.006, 0.198)
Pd (0.692, 0.494, 0.500)
Pd (0.808, 0.308, 0.802)
Pd (0.994, 0.192, 0.500)

=====

The following is a DFT calculation (GGA-PBE) of crystalline Ca2ScAuI at its relaxed geometry.

Calculated values
Magnetization in Bohr magnetons per cell: 1.3
Energy relative to the elements, uncorrected in eV/atom: 0.3154

Cell: 5.797 5.797 5.365 Å, 90.00 90.00 90.00°
Fractional coordinates of all 5 atoms:
Ca (0.000, 0.500, 0.000)
Ca (0.500, 0.000, 0.000)
Sc (0.000, 0.000, 0.500)
Au (0.500, 0.500, 0.500)
I (0.500, 0.500, 0.000)

=====

The following is a DFT calculation (GGA-PBE) of crystalline Tb4Ho5Tm at its relaxed geometry.

Calculated values
Magnetization in Bohr magnetons per cell: 0.0
E_form in kJ/mol of formula units: 251

Cell: 7.995 7.995 7.995 Å, 97.67 97.67 137.14°
Fractional coordinates of all 10 atoms:
Tb (0.000, 0.323, 0.323)
Tb (0.000, 0.677, 0.677)
Tb (0.323, 0.000, 0.323)
Tb (0.677, 0.000, 0.677)
Ho (0.238, 0.238, 0.000)
Ho (0.313, 0.313, 0.622)
Ho (0.313, 0.691, 0.000)
Ho (0.691, 0.313, 0.000)
Ho (0.691, 0.691, 0.378)
Tm (0.765, 0.765, 0.000)

=====

The following is a DFT calculation (GGA-PBE) of crystalline Pr6Nd2Pb at its relaxed geometry.

Calculated values
Magnetization in Bohr magnetons per cell: 0.0
E_form in kJ/mol of formula units: -53

Cell: 11.630 11.630 11.630 Å, 147.32 132.27 59.05°
Fractional coordinates of all 18 atoms:
Pr (0.007, 0.435, 0.785)
Pr (0.083, 0.083, 0.000)
Pr (0.149, 0.935, 0.428)
Pr (0.351, 0.778, 0.785)
Pr (0.417, 0.417, 0.000)
Pr (0.493, 0.278, 0.428)
Pr (0.507, 0.722, 0.572)
Pr (0.583, 0.583, 0.000)
Pr (0.649, 0.222, 0.215)
Pr (0.851, 0.065, 0.572)
Pr (0.917, 0.917, 0.000)
Pr (0.993, 0.565, 0.215)
Nd (0.174, 0.415, 0.588)
Nd (0.326, 0.915, 0.241)
Nd (0.674, 0.085, 0.759)
Nd (0.826, 0.585, 0.412)
Pb (0.250, 0.250, 0.000)
Pb (0.750, 0.750, 0.000)

=====

The following is a DFT calculation (GGA-PBE) of crystalline PaAlCo4H6 at its relaxed geometry.

Calculated values
Magnetization in Bohr magnetons per cell: 2.1
Total energy in eV/atom: -5.37

Cell: 4.228 4.228 6.492 Å, 90.00 90.00 120.00°
Fractional coordinates of all 12 atoms:
Pa (0.000, 0.000, 0.000)
Al (0.000, 0.000, 0.500)
Co (0.333, 0.667, 0.318)
Co (0.333, 0.667, 0.682)
Co (0.667, 0.333, 0.318)
Co (0.667, 0.333, 0.682)
H (0.000, 0.500, 0.151)
H (0.000, 0.500, 0.849)
H (0.500, 0.000, 0.151)
H (0.500, 0.000, 0.849)
H (0.500, 0.500, 0.151)
H (0.500, 0.500, 0.849)